1.
Material: MgP2O6
Method: DFT, PBE
State: relaxed

a = 7.289 Å, b = 7.289 Å, c = 10.091 Å
α = 113.30°, β = 113.30°, γ = 70.08°
Positions (direct):
Mg (0.000, 0.500, 0.500)
Mg (0.050, 0.950, 0.750)
Mg (0.500, 0.000, 0.000)
Mg (0.950, 0.050, 0.250)
P (0.255, 0.731, 0.024)
P (0.269, 0.745, 0.476)
P (0.293, 0.315, 0.805)
P (0.315, 0.293, 0.305)
P (0.685, 0.707, 0.695)
P (0.707, 0.685, 0.195)
P (0.731, 0.255, 0.524)
P (0.745, 0.269, 0.976)
O (0.093, 0.852, 0.098)
O (0.126, 0.279, 0.328)
O (0.148, 0.907, 0.402)
O (0.187, 0.350, 0.656)
O (0.189, 0.710, 0.581)
O (0.214, 0.505, 0.937)
O (0.279, 0.126, 0.828)
O (0.290, 0.811, 0.919)
O (0.313, 0.530, 0.347)
O (0.350, 0.187, 0.156)
O (0.470, 0.687, 0.153)
O (0.495, 0.786, 0.563)
O (0.505, 0.214, 0.437)
O (0.530, 0.313, 0.847)
O (0.650, 0.813, 0.844)
O (0.687, 0.470, 0.653)
O (0.710, 0.189, 0.081)
O (0.721, 0.874, 0.172)
O (0.786, 0.495, 0.063)
O (0.811, 0.290, 0.419)
O (0.813, 0.650, 0.344)
O (0.852, 0.093, 0.598)
O (0.874, 0.721, 0.672)
O (0.907, 0.148, 0.902)

Results
- crystal system = monoclinic
- DOS at the Fermi energy (states/eV per cell) = 0.0
- calculated total energy (eV per atom) = -7.070
- E_form (uncorrected) (eV/atom) = -2.38
- magnetic moment (μB/f.u.) = 0.00


2.
Material: MgP2O2
Method: DFT, PBE
State: relaxed

a = 3.709 Å, b = 3.709 Å, c = 5.915 Å
α = 90.00°, β = 90.00°, γ = 90.00°
Positions (direct):
Mg (0.000, 0.000, 0.000)
P (0.000, 0.000, 0.500)
P (0.500, 0.500, 0.500)
O (0.000, 0.500, 0.000)
O (0.500, 0.000, 0.000)

Results
- crystal system = tetragonal
- DOS at the Fermi energy (states/eV per cell) = 2.8
- calculated total energy (eV per atom) = -4.435
- E_form (uncorrected) (eV/atom) = 0.03
- ΔE to the lowest computed polymorph (eV per formula unit) = 3.63
- magnetic moment (μB/f.u.) = 2.35


3.
Material: MgPO2
Method: DFT, PBE
State: relaxed

a = 6.350 Å, b = 6.350 Å, c = 6.350 Å
α = 28.50°, β = 28.50°, γ = 28.50°
Positions (direct):
Mg (0.000, 0.000, 0.000)
P (0.500, 0.500, 0.500)
O (0.109, 0.109, 0.109)
O (0.891, 0.891, 0.891)

Results
- crystal system = trigonal
- DOS at the Fermi energy (states/eV per cell) = 0.6
- calculated total energy (eV per atom) = -4.953
- E_form (uncorrected) (eV/atom) = -0.72
- ΔE to the lowest computed polymorph (eV per formula unit) = 3.88
- magnetic moment (μB/f.u.) = 0.00


4.
Material: MgPPbO2
Method: DFT, PBE
State: relaxed

a = 4.178 Å, b = 4.178 Å, c = 5.543 Å
α = 90.00°, β = 90.00°, γ = 90.00°
Positions (direct):
Mg (0.000, 0.000, 0.000)
P (0.500, 0.500, 0.000)
Pb (0.500, 0.500, 0.500)
O (0.000, 0.500, 0.500)
O (0.500, 0.000, 0.500)

Results
- crystal system = tetragonal
- DOS at the Fermi energy (states/eV per cell) = 4.5
- calculated total energy (eV per atom) = -4.202
- E_form (uncorrected) (eV/atom) = -0.08
- ΔE to the lowest computed polymorph (eV per formula unit) = 1.81
- magnetic moment (μB/f.u.) = 0.90